Record 1
Here is a relaxed structure of Ho3InFe from Alexandria. Energies are from GGA-PBE. Values from VASP.

Quantum ESPRESSO input file:
```
&SYSTEM
  ibrav = 0, nat = 20, ntyp = 3
/
ATOMIC_SPECIES
Ho 164.93 Ho.upf
In 114.82 In.upf
Fe 55.84 Fe.upf
CELL_PARAMETERS angstrom
-3.1279 0.6422 1.9710
2.3630 -6.0695 5.7275
7.5290 10.8654 8.4080
ATOMIC_POSITIONS crystal
Ho 0.7500 0.4181 0.6471
Ho 0.2500 0.7403 0.6907
Ho 0.2500 0.7020 0.9998
Ho 0.2500 0.5819 0.3529
Ho 0.7500 0.2597 0.3093
Ho 0.2500 0.0819 0.1471
Ho 0.2500 0.2403 0.8093
Ho 0.7500 0.7597 0.1907
Ho 0.2500 0.2020 0.5002
Ho 0.7500 0.9181 0.8529
Ho 0.7500 0.2980 0.0002
Ho 0.7500 0.7980 0.4998
In 0.2500 0.9515 0.3413
In 0.7500 0.5485 0.8413
In 0.2500 0.4515 0.1587
In 0.7500 0.0485 0.6587
Fe 0.7500 0.9512 0.0347
Fe 0.7500 0.4512 0.4653
Fe 0.2500 0.0488 0.9653
Fe 0.2500 0.5488 0.5347
```

Computed properties:
SG = Pnma, No. 62
raw total energy = -104.26 eV per cell
formation enthalpy at 0 K = -0.226 eV/atom
magnetic moment = 1.15 μB/f.u.
ρ = 8.669 Mg/m³
E above lowest polymorph = 0.0 meV per atom

Record 2
Here is a relaxed structure of Sm3Y4Er from Alexandria. Energies are from GGA-PBE. Values from VASP.

Quantum ESPRESSO input file:
```
&SYSTEM
  ibrav = 0, nat = 8, ntyp = 3
/
ATOMIC_SPECIES
Sm 150.36 Sm.upf
Y 88.91 Y.upf
Er 167.26 Er.upf
CELL_PARAMETERS angstrom
-0.0872 -2.9483 -1.8270
6.3312 -1.3530 1.8811
-13.3680 -2.0603 7.2573
ATOMIC_POSITIONS crystal
Sm 0.0000 0.5000 0.0000
Sm 0.2396 0.2194 0.4793
Sm 0.7604 0.7806 0.5207
Y 0.3759 0.3728 0.7518
Y 0.6241 0.6272 0.2482
Y 0.3759 0.8820 0.7519
Y 0.6241 0.1180 0.2481
Er 0.5000 0.0000 0.0000
```

Computed properties:
SG = Immm, No. 71
raw total energy = -43.11 eV per cell
formation enthalpy at 0 K = 0.183 eV/atom
magnetic moment = 0.00 μB/f.u.
ρ = 6.057 Mg/m³
E above lowest polymorph = 171.4 meV per atom

Record 3
Here is a relaxed structure of CsRb2SeCl from Alexandria. Energies are from GGA-PBE. Values from VASP.

Quantum ESPRESSO input file:
```
&SYSTEM
  ibrav = 0, nat = 5, ntyp = 4
/
ATOMIC_SPECIES
Se 78.96 Se.upf
Rb 85.47 Rb.upf
Cl 35.45 Cl.upf
Cs 132.91 Cs.upf
CELL_PARAMETERS angstrom
6.5068 0.0000 0.0000
0.0000 6.5068 0.0000
0.0000 0.0000 6.9121
ATOMIC_POSITIONS crystal
Se 0.0000 0.0000 0.0000
Rb 0.5000 0.0000 0.0000
Rb 0.0000 0.5000 0.0000
Cl 0.5000 0.5000 0.5000
Cs 0.0000 0.0000 0.5000
```

Computed properties:
SG = P4/mmm, No. 123
raw total energy = -14.07 eV per cell
magnetic moment = 0.00 μB/f.u.
ρ = 2.373 Mg/m³

Record 4
Here is a relaxed structure of Ce2HoF8 from Alexandria. Energies are from GGA-PBE. Values from VASP.

Quantum ESPRESSO input file:
```
&SYSTEM
  ibrav = 0, nat = 11, ntyp = 3
/
ATOMIC_SPECIES
Ce 140.12 Ce.upf
F 19.00 F.upf
Ho 164.93 Ho.upf
CELL_PARAMETERS angstrom
4.0700 0.0000 0.0000
-2.0350 6.0084 -2.0841
0.0000 -1.0292 7.2474
ATOMIC_POSITIONS crystal
Ce 0.3144 0.6289 0.3091
Ce 0.6856 0.3711 0.6909
F 0.3144 0.6288 0.9714
F 0.2122 0.4244 0.5614
F 0.4839 0.9678 0.6786
F 0.6856 0.3712 0.0286
F 0.9019 0.8038 0.8604
F 0.7878 0.5756 0.4386
F 0.5161 0.0322 0.3214
F 0.0981 0.1962 0.1396
Ho 0.5000 0.0000 0.0000
```

Computed properties:
SG = C2/m, No. 12
raw total energy = -73.62 eV per cell
magnetic moment = 3.00 μB/f.u.
ρ = 5.885 Mg/m³
E above lowest polymorph = 26.3 meV per atom

Record 5
Here is a relaxed structure of Nb2Al2Cd from Alexandria. Energies are from GGA-PBE. Values from VASP.

Quantum ESPRESSO input file:
```
&SYSTEM
  ibrav = 0, nat = 10, ntyp = 3
/
ATOMIC_SPECIES
Al 26.98 Al.upf
Nb 92.91 Nb.upf
Cd 112.41 Cd.upf
CELL_PARAMETERS angstrom
-6.1136 2.8235 -1.8079
-3.3397 -5.4601 2.7660
-0.1544 1.7185 3.2059
ATOMIC_POSITIONS crystal
Al 0.8746 0.6254 0.0000
Al 0.6254 0.1254 0.0000
Al 0.3746 0.8746 0.0000
Al 0.1254 0.3746 0.0000
Nb 0.3268 0.1732 0.5000
Nb 0.6732 0.8268 0.5000
Nb 0.8268 0.3268 0.5000
Nb 0.1732 0.6732 0.5000
Cd 0.5000 0.5000 0.0000
Cd 0.0000 0.0000 0.0000
```

Computed properties:
SG = P4/mbm, No. 127
raw total energy = -57.38 eV per cell
formation enthalpy at 0 K = -0.030 eV/atom
magnetic moment = 0.00 μB/f.u.
ρ = 6.608 Mg/m³
E above lowest polymorph = 0.0 meV per atom

Record 6
Here is a relaxed structure of ZrTiZn3 from Alexandria. Energies are from GGA-PBE. Values from VASP.

Quantum ESPRESSO input file:
```
&SYSTEM
  ibrav = 0, nat = 10, ntyp = 3
/
ATOMIC_SPECIES
Zn 65.41 Zn.upf
Zr 91.22 Zr.upf
Ti 47.87 Ti.upf
CELL_PARAMETERS angstrom
-3.1901 2.6394 -3.5258
1.2899 -4.2188 -4.3253
-4.8316 -0.8119 3.7638
ATOMIC_POSITIONS crystal
Zn 0.7500 0.5954 0.7977
Zn 0.2500 0.7977 0.2023
Zn 0.2500 0.4046 0.2023
Zn 0.7500 0.2023 0.7977
Zn 0.7500 0.2023 0.4046
Zn 0.2500 0.7977 0.5954
Zr 0.2500 0.3334 0.6666
Zr 0.7500 0.6666 0.3334
Ti 0.0000 0.0000 0.0000
Ti 0.5000 0.0000 0.0000
```

Computed properties:
SG = P6_3/mmc, No. 194
raw total energy = -40.23 eV per cell
formation enthalpy at 0 K = 0.030 eV/atom
magnetic moment = 0.00 μB/f.u.
ρ = 6.195 Mg/m³
E above lowest polymorph = 0.0 meV per atom

Record 7
Here is a relaxed structure of ZrMn3Fe3 from Alexandria. Energies are from GGA-PBE. Values from VASP.

Quantum ESPRESSO input file:
```
&SYSTEM
  ibrav = 0, nat = 14, ntyp = 3
/
ATOMIC_SPECIES
Mn 54.94 Mn.upf
Zr 91.22 Zr.upf
Fe 55.84 Fe.upf
CELL_PARAMETERS angstrom
-3.2525 0.9539 4.9048
2.1534 -5.0135 2.4030
4.5089 3.0824 2.3905
ATOMIC_POSITIONS crystal
Mn 0.0000 0.7500 0.5000
Mn 0.5000 0.0000 0.7500
Mn 0.5000 0.0000 0.2500
Mn 0.2500 0.5000 0.0000
Mn 0.0000 0.2500 0.5000
Mn 0.7500 0.5000 0.0000
Zr 0.5000 0.5000 0.5000
Zr 0.0000 0.0000 0.0000
Fe 0.0000 0.5000 0.7500
Fe 0.7500 0.0000 0.5000
Fe 0.2500 0.0000 0.5000
Fe 0.5000 0.2500 0.0000
Fe 0.5000 0.7500 0.0000
Fe 0.0000 0.5000 0.2500
```

Computed properties:
SG = Pm-3n, No. 223
raw total energy = -112.08 eV per cell
formation enthalpy at 0 K = 0.772 eV/atom
magnetic moment = 0.56 μB/f.u.
ρ = 6.638 Mg/m³

Record 8
Here is a relaxed structure of Tc2C from Alexandria. Energies are from GGA-PBE. Values from VASP.

Quantum ESPRESSO input file:
```
&SYSTEM
  ibrav = 0, nat = 6, ntyp = 2
/
ATOMIC_SPECIES
Tc 98.00 Tc.upf
C 12.01 C.upf
CELL_PARAMETERS angstrom
0.0000 3.5161 3.5161
3.5161 0.0000 3.5161
3.5161 3.5161 0.0000
ATOMIC_POSITIONS crystal
Tc 0.1250 0.1250 0.1250
Tc 0.1250 0.6250 0.1250
Tc 0.1250 0.1250 0.6250
Tc 0.6250 0.1250 0.1250
C 0.7500 0.7500 0.7500
C 0.5000 0.5000 0.5000
```

Computed properties:
SG = Fd-3m, No. 227
raw total energy = -45.64 eV per cell
formation enthalpy at 0 K = 2.378 eV/atom
magnetic moment = 0.00 μB/f.u.
ρ = 7.946 Mg/m³
E above lowest polymorph = 2303.6 meV per atom

Record 9
Here is a relaxed structure of PmBeGaPt3 from Alexandria. Energies are from GGA-PBE. Values from VASP.

Quantum ESPRESSO input file:
```
&SYSTEM
  ibrav = 0, nat = 12, ntyp = 4
/
ATOMIC_SPECIES
Pt 195.08 Pt.upf
Be 9.01 Be.upf
Pm 145.00 Pm.upf
Ga 69.72 Ga.upf
CELL_PARAMETERS angstrom
5.6584 0.0000 0.0000
0.0000 6.2590 0.0000
0.0000 -3.1295 6.0756
ATOMIC_POSITIONS crystal
Pt 0.0000 0.2732 0.0000
Pt 0.0000 0.7268 0.0000
Pt 0.2500 0.1691 0.3381
Pt 0.7500 0.8309 0.6619
Pt 0.5000 0.2732 0.0000
Pt 0.5000 0.7268 0.0000
Be 0.2500 0.9792 0.9584
Be 0.7500 0.0208 0.0416
Pm 0.2500 0.7243 0.4487
Pm 0.7500 0.2757 0.5513
Ga 0.2500 0.3683 0.7366
Ga 0.7500 0.6317 0.2634
```

Computed properties:
SG = Cmcm, No. 63
raw total energy = -68.51 eV per cell
formation enthalpy at 0 K = -0.771 eV/atom
magnetic moment = 0.00 μB/f.u.
ρ = 12.486 Mg/m³

Record 10
Here is a relaxed structure of Hf4CuNi2 from Alexandria. Energies are from GGA-PBE. Values from VASP.

Quantum ESPRESSO input file:
```
&SYSTEM
  ibrav = 0, nat = 7, ntyp = 3
/
ATOMIC_SPECIES
Ni 58.69 Ni.upf
Hf 178.49 Hf.upf
Cu 63.55 Cu.upf
CELL_PARAMETERS angstrom
-3.1905 2.8442 -0.2863
-1.9835 1.3579 3.5458
3.7154 7.5714 1.7665
ATOMIC_POSITIONS crystal
Ni 0.4006 0.4006 0.7983
Ni 0.5994 0.5994 0.2017
Hf 0.7050 0.7050 0.8850
Hf 0.1202 0.1202 0.6395
Hf 0.2950 0.2950 0.1150
Hf 0.8798 0.8798 0.3605
Cu 0.5000 0.5000 0.5000
```

Computed properties:
SG = R-3m, No. 166
raw total energy = -55.86 eV per cell
formation enthalpy at 0 K = -0.055 eV/atom
magnetic moment = 0.00 μB/f.u.
ρ = 11.328 Mg/m³

Record 11
Here is a relaxed structure of ErPuMnCo from Alexandria. Energies are from GGA-PBE. Values from VASP.

Quantum ESPRESSO input file:
```
&SYSTEM
  ibrav = 0, nat = 4, ntyp = 4
/
ATOMIC_SPECIES
Er 167.26 Er.upf
Mn 54.94 Mn.upf
Pu 244.00 Pu.upf
Co 58.93 Co.upf
CELL_PARAMETERS angstrom
4.7231 0.0000 0.0000
2.3616 4.0903 0.0000
2.3616 1.3634 3.8564
ATOMIC_POSITIONS crystal
Er 0.7500 0.7500 0.7500
Mn 0.0000 0.0000 0.0000
Pu 0.2500 0.2500 0.2500
Co 0.5000 0.5000 0.5000
```

Computed properties:
SG = F-43m, No. 216
raw total energy = -35.08 eV per cell
formation enthalpy at 0 K = 0.022 eV/atom
magnetic moment = 2.07 μB/f.u.
ρ = 11.704 Mg/m³